# Dy3Tm4Tl (PBE, optimized geometry)
data_Dy3Tm4Tl
_chemical_formula_sum 'Dy6 Tm8 Tl2'
_space_group_name_H-M_alt 'P m n 21'
_space_group_IT_number 31
_space_group_name_Hall 'P 2ac -2'
_cell_length_a 11.1140
_cell_length_b 6.9505
_cell_length_c 6.1174
_cell_angle_alpha 90.00
_cell_angle_beta 90.00
_cell_angle_gamma 90.00
loop_
_atom_site_label
_atom_site_fract_x
_atom_site_fract_y
_atom_site_fract_z
_atom_site_occupancy
Dy1 0.0000 0.1301 0.0000 1
Dy2 0.2397 0.1163 0.3435 1
Tm1 0.0000 0.3771 0.5348 1
Tm2 0.0000 0.6289 0.0123 1
Tm3 0.2413 0.6238 0.3603 1
Tl1 0.0000 0.8706 0.5219 1
# Calculated formation energy (meV/atom): -73
# Polymorph energy (0 for the lowest one) (meV/atom): 0

***

# Rb4Cd2Au3 (PBE, optimized geometry)
data_Rb4Cd2Au3
_chemical_formula_sum 'Rb8 Cd4 Au6'
_space_group_name_H-M_alt 'C 1 2/m 1'
_space_group_IT_number 12
_space_group_name_Hall '-C 2y'
_cell_length_a 19.3891
_cell_length_b 4.4761
_cell_length_c 8.4080
_cell_angle_alpha 90.00
_cell_angle_beta 108.94
_cell_angle_gamma 90.00
loop_
_atom_site_label
_atom_site_fract_x
_atom_site_fract_y
_atom_site_fract_z
_atom_site_occupancy
Rb1 0.0667 0.0000 0.3897 1
Rb2 0.2461 0.5000 0.2066 1
Cd1 0.0921 0.0000 0.9754 1
Au1 0.0000 0.5000 0.0000 1
Au2 0.1005 0.5000 0.7690 1
# Calculated formation energy (meV/atom): -190

***

# CuOsSe (PBE, optimized geometry)
data_CuOsSe
_chemical_formula_sum 'Cu1 Os1 Se1'
_space_group_name_H-M_alt 'P 3 m 1'
_space_group_IT_number 156
_space_group_name_Hall 'P 3 -2"'
_cell_length_a 2.9776
_cell_length_b 2.9776
_cell_length_c 6.0590
_cell_angle_alpha 90.00
_cell_angle_beta 90.00
_cell_angle_gamma 120.00
loop_
_atom_site_label
_atom_site_fract_x
_atom_site_fract_y
_atom_site_fract_z
_atom_site_occupancy
Cu1 0.0000 0.0000 0.0000 1
Os1 0.6667 0.3333 0.3329 1
Se1 0.3333 0.6667 0.6312 1
# Raw formation energy (meV per atom): 447
# Polymorph energy (0 for the lowest one) (meV/atom): 0

***

# Tm2AlGaGe (PBE, optimized geometry)
data_Tm2AlGaGe
_chemical_formula_sum 'Tm4 Al2 Ga2 Ge2'
_space_group_name_H-M_alt 'P 1 21/m 1'
_space_group_IT_number 11
_space_group_name_Hall '-P 2yb'
_cell_length_a 7.0670
_cell_length_b 4.2622
_cell_length_c 7.4524
_cell_angle_alpha 90.00
_cell_angle_beta 90.04
_cell_angle_gamma 90.00
loop_
_atom_site_label
_atom_site_fract_x
_atom_site_fract_y
_atom_site_fract_z
_atom_site_occupancy
Tm1 0.0013 0.2500 0.2242 1
Tm2 0.4988 0.2500 0.2255 1
Al1 0.2484 0.2500 0.5825 1
Ga1 0.2496 0.7500 0.3985 1
Ge1 0.2505 0.2500 0.9168 1
# Calculated formation energy (meV/atom): -579